A plane-wave DFT calculation with GGA-PBE was carried out for crystalline P2OsCl at its relaxed geometry.

Properties
Calculated total energy in eV per atom: -5.376
DOS(E_F) in states/eV per cell: 2.4
Magnetic moment in μB per formula unit: 0.00
Polymorph energy (0 for the lowest one) in meV/atom: 625
Space group: Immm

a b c (Å): 5.8444 5.8444 5.8444
angles (deg): 151.82 134.61 54.29
Last column: nearest neighbours and their distance in Å.
Element x y z (fractional)
Cl: 0.7500 0.2500 0.5000  4 Os 2.67, 2 Cl 2.85
Os: 0.2500 0.7500 0.5000  4 P 2.45, 4 Cl 2.67
P: 0.0588 0.0588 0.0000  2 Os 2.45
P: 0.4412 0.4412 0.0000  2 Os 2.45



A plane-wave DFT calculation with GGA-PBE was carried out for crystalline POsCl2 at its relaxed geometry.

Properties
Calculated total energy in eV per atom: -4.123
DOS(E_F) in states/eV per cell: 4.4
Magnetic moment in μB per formula unit: 0.00
Polymorph energy (0 for the lowest one) in meV/atom: 1262
Space group: R-3m

a b c (Å): 9.9689 9.9689 9.9689
angles (deg): 16.86 16.86 16.86
Last column: nearest neighbours and their distance in Å.
Element x y z (fractional)
P: 0.0000 0.0000 0.0000  6 P 2.92, 2 Cl 2.98
Os: 0.5000 0.5000 0.5000  6 Cl 2.56
Cl: 0.8989 0.8989 0.8989  3 Os 2.56
Cl: 0.1011 0.1011 0.1011  3 Os 2.56



A plane-wave DFT calculation with GGA-PBE was carried out for crystalline POsCl2 at its relaxed geometry.

Properties
Calculated total energy in eV per atom: -4.125
DOS(E_F) in states/eV per cell: 3.3
Magnetic moment in μB per formula unit: 0.13
Polymorph energy (0 for the lowest one) in meV/atom: 1260
Space group: R-3m

a b c (Å): 9.7816 9.7816 9.7816
angles (deg): 17.86 17.86 17.86
Last column: nearest neighbours and their distance in Å.
Element x y z (fractional)
Cl: 0.9775 0.9775 0.9775  3 Os 2.48
Cl: 0.5225 0.5225 0.5225  3 Os 2.48
Os: 0.2500 0.2500 0.2500  6 Cl 2.48
P: 0.7500 0.7500 0.7500  6 P 3.04



A plane-wave DFT calculation with GGA-PBE was carried out for crystalline P2OsCl at its relaxed geometry.

Properties
Calculated total energy in eV per atom: -5.617
DOS(E_F) in states/eV per cell: 4.2
Magnetic moment in μB per formula unit: 0.00
Polymorph energy (0 for the lowest one) in meV/atom: 384
Space group: R3m

a b c (Å): 9.2275 9.2275 9.2275
angles (deg): 18.81 18.81 18.81
Last column: nearest neighbours and their distance in Å.
Element x y z (fractional)
Cl: 0.4750 0.4750 0.4750  3 Os 2.64
Os: 0.7353 0.7353 0.7353  3 P 2.36, 3 Cl 2.64
P: 0.0100 0.0100 0.0100  3 Os 2.36, 3 P 2.45
P: 0.2797 0.2797 0.2797  3 P 2.45



A plane-wave DFT calculation with GGA-PBE was carried out for crystalline P2OsCl at its relaxed geometry.

Properties
Calculated total energy in eV per atom: -5.959
DOS(E_F) in states/eV per cell: 1.1
Magnetic moment in μB per formula unit: 0.00
Polymorph energy (0 for the lowest one) in meV/atom: 41
Space group: C2/m

a b c (Å): 3.8923 3.8923 7.6843
angles (deg): 62.29 62.29 45.65
Last column: nearest neighbours and their distance in Å.
Element x y z (fractional)
Cl: 0.2500 0.2500 0.2500  4 P 2.66
Os: 0.7500 0.7500 0.7500  6 P 2.40
P: 0.9511 0.9511 0.9217  3 Os 2.40, 2 Cl 2.66
P: 0.5489 0.5489 0.5783  3 Os 2.40, 2 Cl 2.66



A plane-wave DFT calculation with GGA-PBE was carried out for crystalline POsCl at its relaxed geometry.

Properties
Calculated total energy in eV per atom: -4.884
DOS(E_F) in states/eV per cell: 3.5
Magnetic moment in μB per formula unit: 0.80
Polymorph energy (0 for the lowest one) in meV/atom: 1347
Space group: F-43m

a b c (Å): 4.1763 4.1763 4.1763
angles (deg): 60.00 60.00 60.00
Last column: nearest neighbours and their distance in Å.
Element x y z (fractional)
Cl: 0.0000 0.0000 0.0000  4 P 2.56
Os: 0.5000 0.5000 0.5000  4 P 2.56
P: 0.7500 0.7500 0.7500  4 Cl 2.56, 4 Os 2.56



A plane-wave DFT calculation with GGA-PBE was carried out for crystalline POsCl at its relaxed geometry.

Properties
Calculated total energy in eV per atom: -5.832
DOS(E_F) in states/eV per cell: 2.5
Magnetic moment in μB per formula unit: 0.00
Polymorph energy (0 for the lowest one) in meV/atom: 399
Space group: I4mm

a b c (Å): 6.4154 6.4154 6.4154
angles (deg): 153.30 153.30 38.11
Last column: nearest neighbours and their distance in Å.
Element x y z (fractional)
Cl: 0.9694 0.9694 0.0000  4 Os 2.80, 4 Cl 2.96, 1 P 3.09
Os: 0.3163 0.3163 0.0000  4 P 2.43
P: 0.7143 0.7143 0.0000  4 Os 2.43



A plane-wave DFT calculation with GGA-PBE was carried out for crystalline P3OsCl at its relaxed geometry.

Properties
Calculated total energy in eV per atom: -4.054
DOS(E_F) in states/eV per cell: 2.1
Magnetic moment in μB per formula unit: 0.00
Polymorph energy (0 for the lowest one) in meV/atom: 1175
Space group: Pm-3m

a b c (Å): 4.3145 4.3145 4.3145
angles (deg): 90.00 90.00 90.00
Last column: nearest neighbours and their distance in Å.
Element x y z (fractional)
P: 0.0000 0.5000 0.0000  2 Cl 2.16
P: 0.0000 0.0000 0.5000  2 Cl 2.16
P: 0.5000 0.0000 0.0000  2 Cl 2.16
Os: 0.5000 0.5000 0.5000  12 P 3.05
Cl: 0.0000 0.0000 0.0000  6 P 2.16



A plane-wave DFT calculation with GGA-PBE was carried out for crystalline P2OsCl at its relaxed geometry.

Properties
Calculated total energy in eV per atom: -5.754
DOS(E_F) in states/eV per cell: 2.1
Magnetic moment in μB per formula unit: 0.00
Polymorph energy (0 for the lowest one) in meV/atom: 246
Space group: P4/mmm

a b c (Å): 2.9321 2.9321 7.8229
angles (deg): 90.00 90.00 90.00
Last column: nearest neighbours and their distance in Å.
Element x y z (fractional)
Cl: 0.5000 0.5000 0.2500  4 Cl 2.93, 8 P 3.19
Os: 0.5000 0.5000 0.7500  8 P 2.55
P: 0.0000 0.0000 0.9393  4 Os 2.55
P: 0.0000 0.0000 0.5607  4 Os 2.55



A plane-wave DFT calculation with GGA-PBE was carried out for crystalline P2OsCl at its relaxed geometry.

Properties
Calculated total energy in eV per atom: -6.000
DOS(E_F) in states/eV per cell: 1.3
Magnetic moment in μB per formula unit: 0.00
Polymorph energy (0 for the lowest one) in meV/atom: 0
Space group: Cm

a b c (Å): 4.2994 4.2994 7.5363
angles (deg): 76.54 76.54 42.54
Last column: nearest neighbours and their distance in Å.
Element x y z (fractional)
Cl: 0.4022 0.4022 0.5897  2 Os 2.52
Os: 0.8073 0.8073 0.8589  5 P 2.33-2.50, 2 Cl 2.52
P: 0.0752 0.0752 0.9265  1 P 2.08, 1 Os 2.33
P: 0.2153 0.2153 0.1249  1 P 2.08



A plane-wave DFT calculation with GGA-PBE was carried out for crystalline P2OsCl at its relaxed geometry.

Properties
Calculated total energy in eV per atom: -5.814
DOS(E_F) in states/eV per cell: 2.7
Magnetic moment in μB per formula unit: 0.00
Polymorph energy (0 for the lowest one) in meV/atom: 187
Space group: R-3m

a b c (Å): 7.5756 7.5756 7.5756
angles (deg): 24.55 24.55 24.55
Last column: nearest neighbours and their distance in Å.
Element x y z (fractional)
Cl: 0.2500 0.2500 0.2500  6 P 2.80
Os: 0.7500 0.7500 0.7500  6 P 2.44
P: 0.0116 0.0116 0.0116  3 Os 2.44
P: 0.4884 0.4884 0.4884  3 Os 2.44



A plane-wave DFT calculation with GGA-PBE was carried out for crystalline P2OsCl at its relaxed geometry.

Properties
Calculated total energy in eV per atom: -5.101
DOS(E_F) in states/eV per cell: 3.4
Magnetic moment in μB per formula unit: 0.00
Polymorph energy (0 for the lowest one) in meV/atom: 899
Space group: I4/mmm

a b c (Å): 4.4996 4.4996 4.4996
angles (deg): 125.29 125.29 81.06
Last column: nearest neighbours and their distance in Å.
Element x y z (fractional)
Cl: 0.2500 0.7500 0.5000  8 P 2.68, 4 Os 2.92
Os: 0.7500 0.2500 0.5000  8 P 2.68, 4 Cl 2.92
P: 0.0000 0.0000 0.0000  4 Cl 2.68, 4 Os 2.68, 4 P 2.92
P: 0.5000 0.5000 0.0000  4 Cl 2.68, 4 Os 2.68, 4 P 2.92



A plane-wave DFT calculation with GGA-PBE was carried out for crystalline P2OsCl at its relaxed geometry.

Properties
Calculated total energy in eV per atom: -5.897
DOS(E_F) in states/eV per cell: 1.2
Magnetic moment in μB per formula unit: 0.00
Polymorph energy (0 for the lowest one) in meV/atom: 103
Space group: P2/m

a b c (Å): 2.9811 5.1757 5.2721
angles (deg): 54.62 90.00 90.00
Last column: nearest neighbours and their distance in Å.
Element x y z (fractional)
Cl: 0.5000 0.2500 0.2500  2 Os 2.40
Os: 0.5000 0.7500 0.7500  4 P 2.39, 2 Cl 2.40
P: 0.0000 0.9589 0.9437  2 Os 2.39, 2 P 2.47-2.65
P: 0.0000 0.5411 0.5563  2 Os 2.39, 2 P 2.47-2.65



A plane-wave DFT calculation with GGA-PBE was carried out for crystalline POsCl2 at its relaxed geometry.

Properties
Calculated total energy in eV per atom: -5.188
DOS(E_F) in states/eV per cell: 4.1
Magnetic moment in μB per formula unit: 0.00
Polymorph energy (0 for the lowest one) in meV/atom: 197
Space group: P4mm

a b c (Å): 3.0797 3.0797 8.5957
angles (deg): 90.00 90.00 90.00
Last column: nearest neighbours and their distance in Å.
Element x y z (fractional)
Cl: 0.0000 0.0000 0.9426  1 Os 2.30
Cl: 0.5000 0.5000 0.3233  1 P 2.03
Os: 0.0000 0.0000 0.6746  1 Cl 2.30, 4 P 2.39
P: 0.5000 0.5000 0.5595  1 Cl 2.03



A plane-wave DFT calculation with GGA-PBE was carried out for crystalline POsCl3 at its relaxed geometry.

Properties
Calculated total energy in eV per atom: -3.204
DOS(E_F) in states/eV per cell: 9.5
Magnetic moment in μB per formula unit: 4.44
Polymorph energy (0 for the lowest one) in meV/atom: 362
Space group: Pm-3m

a b c (Å): 4.9038 4.9038 4.9038
angles (deg): 90.00 90.00 90.00
Last column: nearest neighbours and their distance in Å.
Element x y z (fractional)
P: 0.0000 0.0000 0.0000  6 Cl 2.45
Os: 0.5000 0.5000 0.5000  12 Cl 3.47
Cl: 0.0000 0.5000 0.0000  2 P 2.45
Cl: 0.0000 0.0000 0.5000  2 P 2.45
Cl: 0.5000 0.0000 0.0000  2 P 2.45



A plane-wave DFT calculation with GGA-PBE was carried out for crystalline POsCl at its relaxed geometry.

Properties
Calculated total energy in eV per atom: -5.860
DOS(E_F) in states/eV per cell: 0.2
Magnetic moment in μB per formula unit: 0.00
Polymorph energy (0 for the lowest one) in meV/atom: 371
Space group: F-43m

a b c (Å): 4.1114 4.1114 4.1114
angles (deg): 60.00 60.00 60.00
Last column: nearest neighbours and their distance in Å.
Element x y z (fractional)
Cl: 0.5000 0.5000 0.5000  4 Os 2.52
Os: 0.7500 0.7500 0.7500  4 Cl 2.52, 4 P 2.52
P: 0.0000 0.0000 0.0000  4 Os 2.52



A plane-wave DFT calculation with GGA-PBE was carried out for crystalline POsCl2 at its relaxed geometry.

Properties
Calculated total energy in eV per atom: -4.733
DOS(E_F) in states/eV per cell: 1.2
Magnetic moment in μB per formula unit: 0.00
Polymorph energy (0 for the lowest one) in meV/atom: 652
Space group: Cmm2

a b c (Å): 3.3462 3.3462 9.2055
angles (deg): 90.00 90.00 125.18
Last column: nearest neighbours and their distance in Å.
Element x y z (fractional)
Cl: 0.0000 0.0000 0.9278  2 P 2.52
Cl: 0.5000 0.5000 0.3240  2 Os 2.49
Os: 0.0000 0.0000 0.5363  2 P 2.23, 2 Cl 2.49
P: 0.5000 0.5000 0.7119  2 Os 2.23



A plane-wave DFT calculation with GGA-PBE was carried out for crystalline P3OsCl at its relaxed geometry.

Properties
Calculated total energy in eV per atom: -5.229
DOS(E_F) in states/eV per cell: 5.9
Magnetic moment in μB per formula unit: 0.00
Polymorph energy (0 for the lowest one) in meV/atom: 0
Space group: Pm-3m

a b c (Å): 4.6305 4.6305 4.6305
angles (deg): 90.00 90.00 90.00
Last column: nearest neighbours and their distance in Å.
Element x y z (fractional)
P: 0.0000 0.5000 0.0000  2 Os 2.32
P: 0.0000 0.0000 0.5000  2 Os 2.32
P: 0.5000 0.0000 0.0000  2 Os 2.32
Os: 0.0000 0.0000 0.0000  6 P 2.32
Cl: 0.5000 0.5000 0.5000  12 P 3.27



A plane-wave DFT calculation with GGA-PBE was carried out for crystalline P2OsCl at its relaxed geometry.

Properties
Calculated total energy in eV per atom: -5.811
DOS(E_F) in states/eV per cell: 1.8
Magnetic moment in μB per formula unit: 0.00
Polymorph energy (0 for the lowest one) in meV/atom: 189
Space group: Pm

a b c (Å): 3.6828 3.9953 5.9541
angles (deg): 89.00 90.00 90.00
Last column: nearest neighbours and their distance in Å.
Element x y z (fractional)
Cl: 0.0000 0.6460 0.5539  2 Os 2.55
Os: 0.5000 0.7139 0.8447  4 P 2.25-2.52
P: 0.0000 0.8924 0.0381  2 Os 2.29, 2 P 2.33
P: 0.5000 0.2477 0.0634  2 Os 2.25-2.52, 2 P 2.33



A plane-wave DFT calculation with GGA-PBE was carried out for crystalline P2OsCl at its relaxed geometry.

Properties
Calculated total energy in eV per atom: -5.317
DOS(E_F) in states/eV per cell: 3.0
Magnetic moment in μB per formula unit: 0.00
Polymorph energy (0 for the lowest one) in meV/atom: 683
Space group: I4/mmm

a b c (Å): 4.3104 4.3104 4.3062
angles (deg): 68.93 68.93 106.25
Last column: nearest neighbours and their distance in Å.
Element x y z (fractional)
Cl: 0.5000 0.0000 0.5000  4 P 2.44, 2 Os 2.59
Os: 0.0000 0.5000 0.5000  4 P 2.44, 2 Cl 2.59
P: 0.0000 0.0000 0.0000  2 Cl 2.44, 2 Os 2.44, 2 P 2.59
P: 0.5000 0.5000 0.0000  2 Os 2.44, 2 Cl 2.44, 2 P 2.59



Uncorrected formation energy per entry: 0.60 0.96 0.96 0.36 0.01 1.28 0.33 1.81 0.22 -0.03 0.16 0.87 0.08 -0.10 1.23 0.30 0.35 0.63 0.16 0.66 eV/atom